PBE ZnTeW2, relaxed; electronic total energy = -54.5 eV per cell; raw formation energy = 766 meV per atom
1.0
3.9922 0.0000 0.0000
0.0000 3.9922 0.0000
1.9961 1.9961 9.5720
Zn Te W
2 2 4
Cartesian
1.9961 1.9961 0.0000
1.9961 3.9922 4.7860
0.0000 0.0000 0.0000
3.9922 1.9961 4.7860
2.8119 0.9980 2.3930
1.1803 2.9941 2.3930
2.9941 3.1764 7.1790
4.9902 4.8080 7.1790